# TlV2PtO6 (GGA+U, relaxed)
# DOS at the Fermi energy: 4.66 states/eV per cell
# calculated total energy: -6.620 eV/atom
data_TlV2PtO6
_chemical_formula_sum 'Tl4 V8 Pt4 O24'
_space_group_name_H-M_alt 'C 1 2/c 1'
_space_group_IT_number 15
_cell_length_a 12.421
_cell_length_b 9.181
_cell_length_c 6.073
_cell_angle_alpha 90.00
_cell_angle_beta 112.68
_cell_angle_gamma 90.00
loop_
_space_group_symop_operation_xyz
'x,y,z'
'-x,-y,-z'
'-x,y,-z+1/2'
'x,-y,z+1/2'
'x+1/2,y+1/2,z'
'-x+1/2,-y+1/2,-z'
'-x+1/2,y+1/2,-z+1/2'
'x+1/2,-y+1/2,z+1/2'
loop_
_atom_site_label
_atom_site_type_symbol
_atom_site_fract_x
_atom_site_fract_y
_atom_site_fract_z
Tl1 Tl 0.000 0.099 0.250
V1 V 0.235 0.390 0.214
Pt1 Pt 0.000 0.260 0.750
O1 O 0.104 0.289 0.095
O2 O 0.147 0.233 0.687
O3 O 0.247 0.492 0.483